Record 1
Compound: Ac3NiICl
Source: the Alexandria database
Functional: PBE
Structure: optimized geometry

Energy ... -54.0 eV for the cell shown

Geometry as CIF:
```
data_Ac3NiICl
_symmetry_space_group_name_H-M 'P 1 21/m 1'
_symmetry_Int_Tables_number 11
_cell_length_a 9.9183
_cell_length_b 4.3004
_cell_length_c 10.1629
_cell_angle_alpha 90.00
_cell_angle_beta 92.10
_cell_angle_gamma 90.00
loop_
_symmetry_equiv_pos_as_xyz
'x,y,z'
'-x,-y,-z'
'-x,y+1/2,-z'
'x,-y+1/2,z'
loop_
_atom_site_label
_atom_site_fract_x
_atom_site_fract_y
_atom_site_fract_z
_atom_site_occupancy
Ac1 0.0624 0.2500 0.3433 1
Ac2 0.1704 0.2500 0.9265 1
Ac3 0.3445 0.7500 0.6199 1
Ni1 0.1456 0.2500 0.6407 1
I1 0.3523 0.7500 0.2838 1
Cl1 0.3858 0.7500 0.9129 1
```

Record 2
Compound: Pm2Pr4Ge3O2
Source: the Alexandria database
Functional: PBE
Structure: optimized geometry

Energy ... -136.7 eV for the cell shown

Geometry as CIF:
```
data_Pm2Pr4Ge3O2
_symmetry_space_group_name_H-M 'I 4/m m m'
_symmetry_Int_Tables_number 139
_symmetry_space_group_name_Hall '-I 4 2'
_cell_length_a 4.7553
_cell_length_b 4.7553
_cell_length_c 24.6942
_cell_angle_alpha 90.00
_cell_angle_beta 90.00
_cell_angle_gamma 90.00
loop_
_atom_site_label
_atom_site_fract_x
_atom_site_fract_y
_atom_site_fract_z
_atom_site_occupancy
Pm1 0.0000 0.0000 0.1993 1
Pr1 0.0000 0.5000 0.0804 1
Ge1 0.0000 0.0000 0.3235 1
Ge2 0.0000 0.0000 0.5000 1
O1 0.0000 0.0000 0.1045 1
```

Record 3
Compound: AcTb5Tm
Source: the Alexandria database
Functional: PBE
Structure: optimized geometry

Formation energy from the elements ... 100 meV per atom
Energy ... -124.1 eV for the cell shown

Geometry as CIF:
```
data_AcTb5Tm
_symmetry_space_group_name_H-M 'C 1 2/c 1'
_symmetry_Int_Tables_number 15
_cell_length_a 8.8735
_cell_length_b 9.8511
_cell_length_c 11.5305
_cell_angle_alpha 90.00
_cell_angle_beta 109.44
_cell_angle_gamma 90.00
loop_
_symmetry_equiv_pos_as_xyz
'x,y,z'
'-x,-y,-z'
'-x,y,-z+1/2'
'x,-y,z+1/2'
'x+1/2,y+1/2,z'
'-x+1/2,-y+1/2,-z'
'-x+1/2,y+1/2,-z+1/2'
'x+1/2,-y+1/2,z+1/2'
loop_
_atom_site_label
_atom_site_fract_x
_atom_site_fract_y
_atom_site_fract_z
_atom_site_occupancy
Ac1 0.2500 0.2500 0.0000 1
Tb1 0.0000 0.0734 0.7500 1
Tb2 0.1289 0.4246 0.6699 1
Tb3 0.1691 0.1058 0.5345 1
Tm1 0.0000 0.2651 0.2500 1
```

Record 4
Compound: Sm6TmMg2
Source: the Alexandria database
Functional: PBE
Structure: optimized geometry

Formation energy from the elements ... 100 meV per atom
Energy ... -140.3 eV for the cell shown

Geometry as CIF:
```
data_Sm6TmMg2
_symmetry_space_group_name_H-M 'C 1 2/c 1'
_symmetry_Int_Tables_number 15
_cell_length_a 15.0506
_cell_length_b 12.1414
_cell_length_c 6.3273
_cell_angle_alpha 90.00
_cell_angle_beta 100.18
_cell_angle_gamma 90.00
loop_
_symmetry_equiv_pos_as_xyz
'x,y,z'
'-x,-y,-z'
'-x,y,-z+1/2'
'x,-y,z+1/2'
'x+1/2,y+1/2,z'
'-x+1/2,-y+1/2,-z'
'-x+1/2,y+1/2,-z+1/2'
'x+1/2,-y+1/2,z+1/2'
loop_
_atom_site_label
_atom_site_fract_x
_atom_site_fract_y
_atom_site_fract_z
_atom_site_occupancy
Sm1 0.0305 0.1362 0.0234 1
Sm2 0.1153 0.3974 0.2755 1
Sm3 0.1952 0.2499 0.7372 1
Tm1 0.0000 0.3711 0.7500 1
Mg1 0.1932 0.0215 0.3966 1
```

Record 5
Compound: LaZrSc2In
Source: the Alexandria database
Functional: PBE
Structure: optimized geometry

Formation energy from the elements ... 554 meV per atom
Energy ... -26.1 eV for the cell shown

Geometry as CIF:
```
data_LaZrSc2In
_symmetry_space_group_name_H-M 'P 4/m m m'
_symmetry_Int_Tables_number 123
_symmetry_space_group_name_Hall '-P 4 2'
_cell_length_a 5.2330
_cell_length_b 5.2330
_cell_length_c 5.6308
_cell_angle_alpha 90.00
_cell_angle_beta 90.00
_cell_angle_gamma 90.00
loop_
_atom_site_label
_atom_site_fract_x
_atom_site_fract_y
_atom_site_fract_z
_atom_site_occupancy
La1 0.0000 0.0000 0.0000 1
Zr1 0.0000 0.0000 0.5000 1
Sc1 0.0000 0.5000 0.5000 1
In1 0.5000 0.5000 0.0000 1
```